No. 1
Density functional theory data (PBE) for a geometry-optimized Sc2CdCl structure.

Values from the calculation:
- polymorph energy (0 for the lowest one) (meV/atom) = 240
- symmetry = C2/m
- energy relative to the elements, uncorrected (meV per atom) = -437

Lattice parameters (Å, degrees): 5.2455 5.2455 3.1735 95.22 95.22 90.88
Closest atoms and distances in Å follow each position.
Sites, in units of the cell vectors:
Sc (0.0000, 0.5000, 0.0000)  4 Cl 2.94-3.19, 4 Cd 2.94-3.19, 2 Sc 3.17
Sc (0.5000, 0.0000, 0.0000)  4 Cl 2.94-3.19, 4 Cd 2.94-3.19, 2 Sc 3.17
Cd (0.0000, 0.0000, 0.5000)  8 Sc 2.94-3.19, 2 Cd 3.17
Cl (0.5000, 0.5000, 0.5000)  8 Sc 2.94-3.19, 2 Cl 3.17

No. 2
Density functional theory data (PBE) for a geometry-optimized Sc2CdCl structure.

Values from the calculation:
- polymorph energy (0 for the lowest one) (meV/atom) = 190
- symmetry = Immm
- energy relative to the elements, uncorrected (meV per atom) = -486

Lattice parameters (Å, degrees): 5.5610 5.5610 5.5610 143.22 115.86 76.28
Closest atoms and distances in Å follow each position.
Sites, in units of the cell vectors:
Sc (0.2098, 0.2098, 0.0000)  2 Cl 2.54
Sc (0.7902, 0.7902, 0.0000)  2 Cl 2.54
Cd (0.5000, 0.0000, 0.5000)  4 Sc 3.09, 4 Cl 3.43
Cl (0.0000, 0.5000, 0.5000)  4 Sc 2.54

No. 3
Density functional theory data (PBE) for a geometry-optimized Sc2CdCl structure.

Values from the calculation:
- polymorph energy (0 for the lowest one) (meV/atom) = 368
- symmetry = Pmmm
- energy relative to the elements, uncorrected (meV per atom) = -309

Lattice parameters (Å, degrees): 3.3129 4.8561 5.8119 90.00 90.00 90.00
Closest atoms and distances in Å follow each position.
Sites, in units of the cell vectors:
Sc (0.0000, 0.0000, 0.0000)  4 Cl 2.94
Sc (0.5000, 0.0000, 0.5000)  4 Cd 2.94
Cd (0.0000, 0.5000, 0.5000)  4 Sc 2.94
Cl (0.5000, 0.5000, 0.0000)  4 Sc 2.94

No. 4
Density functional theory data (PBE) for a geometry-optimized ScCdCl structure.

Values from the calculation:
- polymorph energy (0 for the lowest one) (meV/atom) = 716
- symmetry = F-43m
- energy relative to the elements, uncorrected (meV per atom) = -162

Lattice parameters (Å, degrees): 4.6775 4.6775 4.6775 60.00 60.00 60.00
Closest atoms and distances in Å follow each position.
Sites, in units of the cell vectors:
Sc (0.0000, 0.0000, 0.0000)  4 Cl 2.86
Cd (0.5000, 0.5000, 0.5000)  4 Cl 2.86
Cl (0.2500, 0.2500, 0.2500)  4 Cd 2.86, 4 Sc 2.86

No. 5
Density functional theory data (PBE) for a geometry-optimized Sc2CdCl structure.

Values from the calculation:
- polymorph energy (0 for the lowest one) (meV/atom) = 0
- symmetry = P4/mmm
- energy relative to the elements, uncorrected (meV per atom) = -677

Lattice parameters (Å, degrees): 5.1049 5.1049 3.4232 90.00 90.00 90.00
Closest atoms and distances in Å follow each position.
Sites, in units of the cell vectors:
Sc (0.0000, 0.5000, 0.0000)  2 Cl 2.55
Sc (0.5000, 0.0000, 0.0000)  2 Cl 2.55
Cd (0.0000, 0.0000, 0.5000)  8 Sc 3.07, 2 Cd 3.42
Cl (0.5000, 0.5000, 0.0000)  4 Sc 2.55

No. 6
Density functional theory data (PBE) for a geometry-optimized ScCdCl structure.

Values from the calculation:
- polymorph energy (0 for the lowest one) (meV/atom) = 15
- symmetry = P3m1
- energy relative to the elements, uncorrected (meV per atom) = -863

Lattice parameters (Å, degrees): 3.4283 3.4283 7.6429 90.00 90.00 120.00
Closest atoms and distances in Å follow each position.
Sites, in units of the cell vectors:
Sc (0.0000, 0.0000, 0.0000)  3 Cl 2.59
Cd (0.3333, 0.6667, 0.2956)  3 Sc 3.00
Cl (0.6667, 0.3333, 0.7817)  3 Sc 2.59

- The lowest energy relative to the elements, uncorrected belongs to which entry?
  number 6

- What is the energy relative to the elements, uncorrected in the fourth record?
  -162 meV per atom

- Among the records above, which one has the highest polymorph energy (0 for the lowest one)?
  number 4